# 1
# HgAs2Br

An optimized crystal structure of HgAs2Br (PBE, Alexandria).

a = 3.759 Å, b = 6.414 Å, c = 8.651 Å
α = 90.00°, β = 90.00°, γ = 90.00°
Space group Cmm2 (No. 35)
Symmetry-distinct sites (fractional):
Hg (0.000, 0.000, 0.000) (multiplicity 2)
As (0.000, 0.000, 0.543) (multiplicity 2)
As (0.000, 0.500, 0.732) (multiplicity 2)
Br (0.000, 0.500, 0.248) (multiplicity 2)

Output
Spin magnetization: 0.000 μB per formula unit
Formation energy (no corrections): 0.9 eV per formula unit

# 2
# Li7Tl2Ag

An optimized crystal structure of Li7Tl2Ag (PBE, Alexandria).

a = 4.6281 Å, b = 4.6281 Å, c = 10.0943 Å
α = 90.00°, β = 90.00°, γ = 120.00°
Space group P3m1 (No. 156)
Symmetry-distinct sites (fractional):
Li (0.0000, 0.0000, 0.0000) (multiplicity 1)
Li (0.0000, 0.0000, 0.2370) (multiplicity 1)
Li (0.0000, 0.0000, 0.4755) (multiplicity 1)
Li (0.3333, 0.6667, 0.0542) (multiplicity 1)
Li (0.3333, 0.6667, 0.6605) (multiplicity 1)
Li (0.6667, 0.3333, 0.5210) (multiplicity 1)
Li (0.6667, 0.3333, 0.8667) (multiplicity 1)
Tl (0.0000, 0.0000, 0.7378) (multiplicity 1)
Tl (0.3333, 0.6667, 0.3518) (multiplicity 1)
Ag (0.6667, 0.3333, 0.1684) (multiplicity 1)

Output
Formation energy: -0.116 eV/atom
Spin magnetization: 0.000 μB per formula unit

# 3
# YEr8Tm6

An optimized crystal structure of YEr8Tm6 (PBE, Alexandria).

a = 8.9201 Å, b = 8.9201 Å, c = 20.3577 Å
α = 90.00°, β = 90.00°, γ = 120.00°
Space group R-3 (No. 148, hexagonal axes)
Symmetry-distinct sites (fractional):
Y (0.0000, 0.0000, 0.0000) (multiplicity 3)
Er (0.0000, 0.0000, 0.4236) (multiplicity 6)
Er (0.0815, 0.5508, 0.8094) (multiplicity 18)
Tm (0.0688, 0.2478, 0.7073) (multiplicity 18)

Output
Formation energy: 0.138 eV/atom
Spin magnetization: 0.000 μB per formula unit

# 4
# FeAuCl

An optimized crystal structure of FeAuCl (PBE, Alexandria).

a = 6.383 Å, b = 6.383 Å, c = 6.383 Å
α = 90.00°, β = 90.00°, γ = 90.00°
Space group F-43m (No. 216)
Symmetry-distinct sites (fractional):
Fe (0.000, 0.000, 0.000) (multiplicity 4)
Au (0.250, 0.250, 0.750) (multiplicity 4)
Cl (0.000, 0.000, 0.500) (multiplicity 4)

Output
Spin magnetization: 3.543 μB per formula unit
Formation energy (no corrections): 2.1 eV per formula unit

# 5
# IrRhCl

An optimized crystal structure of IrRhCl (PBE, Alexandria).

a = 2.9556 Å, b = 2.9556 Å, c = 6.1185 Å
α = 90.00°, β = 90.00°, γ = 120.00°
Space group P3m1 (No. 156)
Symmetry-distinct sites (fractional):
Ir (0.0000, 0.0000, 0.0000) (multiplicity 1)
Rh (0.3333, 0.6667, 0.3205) (multiplicity 1)
Cl (0.6667, 0.3333, 0.6462) (multiplicity 1)

Output
Spin magnetization: 0.000 μB per formula unit
Formation energy (no corrections): 1.5 eV per formula unit

# 6
# CsRb9Na2

An optimized crystal structure of CsRb9Na2 (PBE, Alexandria).

a = 18.672 Å, b = 18.672 Å, c = 11.838 Å
α = 90.00°, β = 90.00°, γ = 90.00°
Space group I4_1/amd (No. 141, origin choice 2)
Symmetry-distinct sites (fractional):
Cs (0.000, 0.250, 0.375) (multiplicity 4)
Rb (0.000, 0.250, 0.875) (multiplicity 4)
Rb (0.122, 0.060, 0.679) (multiplicity 32)
Na (0.000, 0.000, 0.000) (multiplicity 8)

Output
Formation energy: 0.037 eV/atom
Spin magnetization: 0.000 μB per formula unit

# 7
# AcTb2Hg3

An optimized crystal structure of AcTb2Hg3 (PBE, Alexandria).

a = 3.820 Å, b = 3.820 Å, c = 11.628 Å
α = 90.00°, β = 90.00°, γ = 90.00°
Space group P4/mmm (No. 123)
Symmetry-distinct sites (fractional):
Ac (0.000, 0.000, 0.000) (multiplicity 1)
Tb (0.000, 0.000, 0.343) (multiplicity 2)
Hg (0.500, 0.500, 0.194) (multiplicity 2)
Hg (0.500, 0.500, 0.500) (multiplicity 1)

Output
Formation energy: -0.463 eV/atom
Spin magnetization: 0.795 μB per formula unit

# 8
# LaMn2Co

An optimized crystal structure of LaMn2Co (PBE, Alexandria).

a = 3.931 Å, b = 3.931 Å, c = 4.476 Å
α = 90.00°, β = 90.00°, γ = 90.00°
Space group P4/mmm (No. 123)
Symmetry-distinct sites (fractional):
La (0.000, 0.000, 0.000) (multiplicity 1)
Mn (0.000, 0.500, 0.500) (multiplicity 2)
Co (0.500, 0.500, 0.000) (multiplicity 1)

Output
Formation energy: 0.395 eV/atom
Spin magnetization: 7.412 μB per formula unit